The following is a PBE calculation of an optimized crystal structure of LaZnNi, from the Open Quantum Materials Database.

Properties
The symmetry is P6_3mc, No. 186. As for the offset from the most stable computed form: 0.027 eV/atom.

a = 4.365 Å, b = 4.365 Å, c = 7.519 Å
α = 90.00°, β = 90.00°, γ = 120.00°
Atoms (fractional coordinates):
La (0.000, 0.000, 0.250)
La (0.000, 0.000, 0.750)
Ni (0.667, 0.333, 0.501)
Ni (0.333, 0.667, 0.001)
Zn (0.667, 0.333, 0.999)
Zn (0.333, 0.667, 0.499)

---

The following is a PBE calculation of an optimized crystal structure of LaZnNi, from the Open Quantum Materials Database.

Properties
The symmetry is P6_3/mmc, No. 194. As for the offset from the most stable computed form: 0.023 eV/atom.

a = 4.319 Å, b = 4.319 Å, c = 7.735 Å
α = 90.00°, β = 90.00°, γ = 120.00°
Atoms (fractional coordinates):
Ni (0.333, 0.667, 0.750)
Ni (0.667, 0.333, 0.250)
Zn (0.667, 0.333, 0.750)
Zn (0.333, 0.667, 0.250)
La (0.000, 0.000, 0.000)
La (0.000, 0.000, 0.500)

---

The following is a PBE calculation of an optimized crystal structure of LaZnNi, from the Open Quantum Materials Database.

Properties
The symmetry is C2/m, No. 12. As for the offset from the most stable computed form: 0.000 eV/atom.

a = 4.284 Å, b = 5.133 Å, c = 6.088 Å
α = 99.93°, β = 110.54°, γ = 90.06°
Atoms (fractional coordinates):
Zn (0.902, 0.204, 0.304)
Zn (0.098, 0.796, 0.696)
La (0.619, 0.307, 0.737)
La (0.381, 0.693, 0.263)
Ni (0.712, 0.865, 0.924)
Ni (0.288, 0.135, 0.076)

---

The following is a PBE calculation of an optimized crystal structure of LaZnNi, from the Open Quantum Materials Database.

Properties
The symmetry is P6_3/mmc, No. 194. As for the offset from the most stable computed form: 0.416 eV/atom.

a = 4.925 Å, b = 4.925 Å, c = 6.012 Å
α = 90.00°, β = 90.00°, γ = 120.00°
Atoms (fractional coordinates):
Zn (0.667, 0.333, 0.750)
Zn (0.333, 0.667, 0.250)
La (0.333, 0.667, 0.750)
La (0.667, 0.333, 0.250)
Ni (0.000, 0.000, 0.500)
Ni (0.000, 0.000, 0.000)

---

The following is a PBE calculation of an optimized crystal structure of LaNp, from the Open Quantum Materials Database.

Properties
The symmetry is P-6m2, No. 187. As for the offset from the most stable computed form: 0.000 eV/atom.

a = 3.327 Å, b = 3.327 Å, c = 5.919 Å
α = 90.00°, β = 90.00°, γ = 120.00°
Atoms (fractional coordinates):
La (0.667, 0.333, 0.750)
Np (0.333, 0.667, 0.250)

---

The following is a PBE calculation of an optimized crystal structure of LaNp, from the Open Quantum Materials Database.

Properties
The symmetry is F-43m, No. 216. As for the offset from the most stable computed form: 1.078 eV/atom.

a = 4.473 Å, b = 4.473 Å, c = 4.473 Å
α = 60.00°, β = 60.00°, γ = 60.00°
Atoms (fractional coordinates):
Np (0.250, 0.250, 0.250)
La (0.000, 0.000, 0.000)

---

The following is a PBE calculation of an optimized crystal structure of LaNp, from the Open Quantum Materials Database.

Properties
The symmetry is Fm-3m, No. 225. As for the offset from the most stable computed form: 0.529 eV/atom.

a = 4.314 Å, b = 4.314 Å, c = 4.314 Å
α = 60.00°, β = 60.00°, γ = 60.00°
Atoms (fractional coordinates):
La (0.000, 0.000, 0.000)
Np (0.500, 0.500, 0.500)

---

The following is a PBE calculation of an optimized crystal structure of La2Np, from the Open Quantum Materials Database.

Properties
The symmetry is Fd-3m, No. 227.

a = 8.878 Å, b = 8.878 Å, c = 8.878 Å
α = 60.00°, β = 60.00°, γ = 60.00°
Atoms (fractional coordinates):
La (0.125, 0.625, 0.125)
La (0.625, 0.125, 0.125)
La (0.125, 0.125, 0.125)
La (0.125, 0.125, 0.625)
Np (0.000, 0.000, 0.000)
Np (0.250, 0.250, 0.250)

---

Record order is preserved below.
Energy of formation: -0.37 -0.38 -0.40 0.01 0.55 1.62 1.08 1.88 eV per atom
Record order is preserved below.
M_tot: 0.000 0.000 0.000 0.000 2.178 2.173 2.154 1.981 μB/atom